## ScPbS2N (PBE)

Data for ScPbS2N after structural relaxation.

Unit cell a=5.168 b=5.168 c=4.221 alpha=90.00 beta=90.00 gamma=90.00
Atoms (fractional coordinates):
Sc1 0.000 0.000 0.000
Pb1 0.500 0.500 0.500
S1 0.000 0.500 0.500
S2 0.500 0.000 0.500
N1 0.500 0.500 0.000

Results
* total energy: -0.17556 hartree per atom
* ΔE_f (raw): 0.547 eV/atom

## Fe3S (PBE)

Data for Fe3S after structural relaxation.

Unit cell a=5.158 b=5.158 c=4.271 alpha=90.00 beta=90.00 gamma=120.00
Atoms (fractional coordinates):
Fe1 0.161 0.323 0.250
Fe2 0.161 0.839 0.250
Fe3 0.323 0.161 0.750
Fe4 0.677 0.839 0.250
Fe5 0.839 0.161 0.750
Fe6 0.839 0.677 0.750
S1 0.333 0.667 0.750
S2 0.667 0.333 0.250

Results
* total energy: -0.26565 hartree per atom
* ΔE_f (raw): 0.150 eV/atom

## CaZnRh (PBE)

Data for CaZnRh after structural relaxation.

Unit cell a=4.414 b=4.414 c=3.542 alpha=90.00 beta=90.00 gamma=120.00
Atoms (fractional coordinates):
Ca1 0.000 0.000 0.000
Zn1 0.667 0.333 0.500
Rh1 0.333 0.667 0.500

Results
* total energy: -0.14454 hartree per atom
* ΔE_f: -0.39 eV/atom

## PuClF6 (PBE)

Data for PuClF6 after structural relaxation.

Unit cell a=5.991 b=9.103 c=5.974 alpha=90.00 beta=102.06 gamma=90.00
Atoms (fractional coordinates):
Pu1 0.000 0.000 0.000
Pu2 0.500 0.500 0.000
Cl1 0.000 0.500 0.500
Cl2 0.500 0.000 0.500
F1 0.074 0.156 0.789
F2 0.074 0.844 0.789
F3 0.129 0.500 0.817
F4 0.371 0.000 0.183
F5 0.426 0.344 0.211
F6 0.426 0.656 0.211
F7 0.574 0.344 0.789
F8 0.574 0.656 0.789
F9 0.629 0.000 0.817
F10 0.871 0.500 0.183
F11 0.926 0.156 0.211
F12 0.926 0.844 0.211

Results
* total energy: -0.21396 hartree per atom
* ΔE_f (raw): -2.396 eV/atom

## Cd2IrW (PBE)

Data for Cd2IrW after structural relaxation.

Unit cell a=3.908 b=3.908 c=4.617 alpha=90.00 beta=90.00 gamma=90.00
Atoms (fractional coordinates):
Cd1 0.000 0.500 0.000
Cd2 0.500 0.000 0.000
Ir1 0.000 0.000 0.500
W1 0.500 0.500 0.500

Results
* total energy: -0.19682 hartree per atom
* ΔE_f: 0.56 eV/atom

## Li2ZnH (PBE)

Data for Li2ZnH after structural relaxation.

Unit cell a=6.126 b=6.126 c=6.126 alpha=90.00 beta=90.00 gamma=90.00
Atoms (fractional coordinates):
Li1 0.250 0.250 0.250
Li2 0.250 0.250 0.750
Li3 0.250 0.750 0.250
Li4 0.250 0.750 0.750
Li5 0.750 0.250 0.250
Li6 0.750 0.250 0.750
Li7 0.750 0.750 0.250
Li8 0.750 0.750 0.750
Zn1 0.000 0.000 0.000
Zn2 0.000 0.500 0.500
Zn3 0.500 0.000 0.500
Zn4 0.500 0.500 0.000
H1 0.000 0.000 0.500
H2 0.000 0.500 0.000
H3 0.500 0.000 0.000
H4 0.500 0.500 0.500

Results
* total energy: -0.06829 hartree per atom

## Sr2Li7Tl (PBE)

Data for Sr2Li7Tl after structural relaxation.

Unit cell a=5.047 b=5.047 c=10.674 alpha=90.00 beta=90.00 gamma=90.00
Atoms (fractional coordinates):
Sr1 0.000 0.500 0.241
Sr2 0.500 0.000 0.759
Li1 0.000 0.000 0.000
Li2 0.000 0.000 0.500
Li3 0.000 0.500 0.626
Li4 0.000 0.500 0.889
Li5 0.500 0.000 0.111
Li6 0.500 0.000 0.374
Li7 0.500 0.500 0.500
Tl1 0.500 0.500 0.000

Results
* total energy: -0.07186 hartree per atom
* ΔE_f: -0.04 eV/atom

## SrMg6CO8 (PBE)

Data for SrMg6CO8 after structural relaxation.

Unit cell a=4.466 b=4.466 c=8.653 alpha=90.00 beta=90.00 gamma=90.00
Atoms (fractional coordinates):
Sr1 0.000 0.000 0.000
Mg1 0.000 0.500 0.264
Mg2 0.000 0.500 0.736
Mg3 0.500 0.000 0.264
Mg4 0.500 0.000 0.736
Mg5 0.500 0.500 0.000
Mg6 0.500 0.500 0.500
C1 0.000 0.000 0.500
O1 0.000 0.000 0.275
O2 0.000 0.000 0.725
O3 0.000 0.500 0.000
O4 0.000 0.500 0.500
O5 0.500 0.000 0.000
O6 0.500 0.000 0.500
O7 0.500 0.500 0.253
O8 0.500 0.500 0.747

Results
* total energy: -0.20755 hartree per atom
* ΔE_f (raw): -1.889 eV/atom

## Fe2TcP (PBE)

Data for Fe2TcP after structural relaxation.

Unit cell a=2.755 b=3.655 c=4.795 alpha=90.00 beta=90.00 gamma=90.00
Atoms (fractional coordinates):
Fe1 0.000 0.000 0.241
Fe2 0.000 0.000 0.759
Tc1 0.500 0.500 0.500
P1 0.500 0.500 0.000

Results
* total energy: -0.30125 hartree per atom
* ΔE_f: -0.02 eV/atom

## K3Cd4Ga2 (PBE)

Data for K3Cd4Ga2 after structural relaxation.

Unit cell a=6.864 b=6.864 c=9.865 alpha=106.81 beta=106.81 gamma=40.93
Atoms (fractional coordinates):
K1 0.000 0.000 0.000
K2 0.378 0.378 0.626
K3 0.622 0.622 0.374
Cd1 0.088 0.088 0.640
Cd2 0.272 0.272 0.928
Cd3 0.728 0.728 0.072
Cd4 0.912 0.912 0.360
Ga1 0.310 0.310 0.232
Ga2 0.690 0.690 0.768

Results
* total energy: -0.05564 hartree per atom
* ΔE_f: -0.07 eV/atom

## Ac6Ir2PdRh (PBE)

Data for Ac6Ir2PdRh after structural relaxation.

Unit cell a=8.225 b=8.225 c=8.225 alpha=54.44 beta=54.44 gamma=54.44
Atoms (fractional coordinates):
Ac1 0.007 0.329 0.664
Ac2 0.156 0.818 0.519
Ac3 0.329 0.664 0.007
Ac4 0.519 0.156 0.818
Ac5 0.664 0.007 0.329
Ac6 0.818 0.519 0.156
Ir1 0.417 0.417 0.417
Ir2 0.919 0.919 0.919
Pd1 0.243 0.243 0.243
Rh1 0.743 0.743 0.743

Results
* total energy: -0.22504 hartree per atom
* ΔE_f: -0.63 eV/atom

## PaNb3 (PBE)

Data for PaNb3 after structural relaxation.

Unit cell a=4.015 b=4.015 c=10.063 alpha=90.00 beta=90.00 gamma=90.00
Atoms (fractional coordinates):
Pa1 0.000 0.000 0.000
Pa2 0.500 0.500 0.500
Nb1 0.000 0.000 0.500
Nb2 0.000 0.500 0.250
Nb3 0.000 0.500 0.750
Nb4 0.500 0.000 0.250
Nb5 0.500 0.000 0.750
Nb6 0.500 0.500 0.000

Results
* total energy: -0.35691 hartree per atom
* ΔE_f: 0.21 eV/atom

> What is the total energy in the tenth record?

-0.05564 hartree per atom

> Look up the total energy of the seventh one.

-0.07186 hartree per atom

> Which of these has the lowest total energy?

PaNb3

> What is the total energy in the eighth record?

-0.20755 hartree per atom